(1)
# PaSbNO | OQMD via LeMat-Bulk | PBE | relaxed
# Offset from the most stable computed form ... 0.000 eV/atom
# DFT total energy ... -30.2 eV/f.u.
data_PaSbNO
_cell_length_a 3.9989
_cell_length_b 7.0787
_cell_length_c 5.5634
_cell_angle_alpha 90.00
_cell_angle_beta 90.00
_cell_angle_gamma 90.00
_symmetry_space_group_name_H-M 'P 1'
_symmetry_Int_Tables_number 1
loop_
_symmetry_equiv_pos_as_xyz
'x,y,z'
loop_
_atom_site_label
_atom_site_type_symbol
_atom_site_fract_x
_atom_site_fract_y
_atom_site_fract_z
Pa1 Pa 0.0000 0.2135 0.0000
Pa2 Pa 0.0000 0.7865 0.5000
Sb1 Sb 0.5000 0.4042 0.4736
Sb2 Sb 0.5000 0.5958 0.9736
N1 N 0.5000 0.2538 0.8293
N2 N 0.5000 0.7462 0.3293
O1 O 0.0000 0.0558 0.3296
O2 O 0.0000 0.9442 0.8296

=====

(2)
# PaSbNO | OQMD via LeMat-Bulk | PBE | relaxed
# Offset from the most stable computed form ... 0.375 eV/atom
# DFT total energy ... -28.7 eV/f.u.
data_PaSbNO
_cell_length_a 5.0984
_cell_length_b 5.0984
_cell_length_c 4.9078
_cell_angle_alpha 90.00
_cell_angle_beta 90.00
_cell_angle_gamma 90.00
_symmetry_space_group_name_H-M 'P 1'
_symmetry_Int_Tables_number 1
loop_
_symmetry_equiv_pos_as_xyz
'x,y,z'
loop_
_atom_site_label
_atom_site_type_symbol
_atom_site_fract_x
_atom_site_fract_y
_atom_site_fract_z
Pa1 Pa 0.2500 0.7500 0.0000
Pa2 Pa 0.7500 0.2500 0.0000
Sb1 Sb 0.2500 0.2500 0.4594
Sb2 Sb 0.7500 0.7500 0.5406
N1 N 0.2500 0.2500 0.8837
N2 N 0.7500 0.7500 0.1163
O1 O 0.2500 0.7500 0.5000
O2 O 0.7500 0.2500 0.5000

=====

(3)
# ScPaNO | OQMD via LeMat-Bulk | PBE | relaxed
# Offset from the most stable computed form ... 0.000 eV/atom
# DFT total energy ... -35.3 eV/f.u.
data_ScPaNO
_cell_length_a 3.8140
_cell_length_b 6.6502
_cell_length_c 4.9735
_cell_angle_alpha 90.00
_cell_angle_beta 90.00
_cell_angle_gamma 90.00
_symmetry_space_group_name_H-M 'P 1'
_symmetry_Int_Tables_number 1
loop_
_symmetry_equiv_pos_as_xyz
'x,y,z'
loop_
_atom_site_label
_atom_site_type_symbol
_atom_site_fract_x
_atom_site_fract_y
_atom_site_fract_z
Sc1 Sc 0.0000 0.1649 0.0000
Sc2 Sc 0.0000 0.8351 0.5000
Pa1 Pa 0.5000 0.3429 0.4995
Pa2 Pa 0.5000 0.6571 0.9995
N1 N 0.0000 0.1451 0.4980
N2 N 0.0000 0.8549 0.9980
O1 O 0.5000 0.2922 0.9998
O2 O 0.5000 0.7078 0.4998

=====

(4)
# ScPaNO | OQMD via LeMat-Bulk | PBE | relaxed
# Offset from the most stable computed form ... 0.401 eV/atom
# DFT total energy ... -33.7 eV/f.u.
data_ScPaNO
_cell_length_a 3.7405
_cell_length_b 3.7405
_cell_length_c 8.3728
_cell_angle_alpha 90.00
_cell_angle_beta 90.00
_cell_angle_gamma 90.00
_symmetry_space_group_name_H-M 'P 1'
_symmetry_Int_Tables_number 1
loop_
_symmetry_equiv_pos_as_xyz
'x,y,z'
loop_
_atom_site_label
_atom_site_type_symbol
_atom_site_fract_x
_atom_site_fract_y
_atom_site_fract_z
Sc1 Sc 0.2500 0.7500 0.0000
Sc2 Sc 0.7500 0.2500 0.0000
Pa1 Pa 0.2500 0.2500 0.3312
Pa2 Pa 0.7500 0.7500 0.6688
N1 N 0.2500 0.2500 0.8250
N2 N 0.7500 0.7500 0.1750
O1 O 0.2500 0.7500 0.5000
O2 O 0.7500 0.2500 0.5000